[1]
## U4Nb (PBE-GGA)

Data for a relaxed structure of U4Nb.

POSCAR file:
```
U4Nb
1.0
5.204 0.000 0.000
0.000 5.204 0.000
0.000 0.000 5.204
U Nb
4 1
Direct
0.000 0.000 0.000
0.000 0.500 0.500
0.500 0.000 0.500
0.500 0.500 0.000
0.500 0.500 0.500
```

- formation enthalpy at 0 K (eV/atom) = 1.403

---

[2]
## ZrTlMo3 (PBE-GGA)

Data for a relaxed structure of ZrTlMo3.

POSCAR file:
```
ZrTlMo3
1.0
4.855 0.000 0.000
0.000 4.855 0.000
0.000 0.000 4.855
Zr Tl Mo
1 1 3
Direct
0.000 0.000 0.000
0.500 0.500 0.500
0.000 0.000 0.500
0.000 0.500 0.000
0.500 0.000 0.000
```

- formation enthalpy at 0 K (eV/atom) = 1.939
- offset from the most stable computed form (meV/atom) = 0